#P
# MgSb2Br PBE relaxed
data_MgSb2Br
_cell_length_a 3.539
_cell_length_b 5.391
_cell_length_c 5.457
_cell_angle_alpha 90.00
_cell_angle_beta 90.00
_cell_angle_gamma 90.00
_space_group_name_H-M_alt 'P 1'
_space_group_IT_number 1
_space_group_name_Hall 'P 1'
loop_
_atom_site_label
_atom_site_type_symbol
_atom_site_fract_x
_atom_site_fract_y
_atom_site_fract_z
Mg1 Mg 0.000 0.000 0.000
Sb1 Sb 0.000 0.500 0.500
Sb2 Sb 0.500 0.000 0.500
Br1 Br 0.500 0.500 0.000
# Symmetry = Pmmm, No. 47
# N(E_F) = 0.44 states/eV/atom

***

#Q
# MgSb2Br PBE relaxed
data_MgSb2Br
_cell_length_a 5.274
_cell_length_b 5.274
_cell_length_c 5.269
_cell_angle_alpha 108.86
_cell_angle_beta 108.86
_cell_angle_gamma 110.57
_space_group_name_H-M_alt 'P 1'
_space_group_IT_number 1
_space_group_name_Hall 'P 1'
loop_
_atom_site_label
_atom_site_type_symbol
_atom_site_fract_x
_atom_site_fract_y
_atom_site_fract_z
Mg1 Mg 0.000 0.000 0.000
Sb1 Sb 0.000 0.500 0.500
Sb2 Sb 0.500 0.000 0.500
Br1 Br 0.500 0.500 0.000
# Symmetry = C2/m, No. 12
# N(E_F) = 0.49 states/eV/atom

***

Most stable pick: #Q. Distance to second place: 87 meV/atom.

***

#P
# MgSbBr6 PBE relaxed
data_MgSbBr6
_cell_length_a 7.294
_cell_length_b 7.294
_cell_length_c 7.294
_cell_angle_alpha 56.07
_cell_angle_beta 56.07
_cell_angle_gamma 56.07
_space_group_name_H-M_alt 'P 1'
_space_group_IT_number 1
_space_group_name_Hall 'P 1'
loop_
_atom_site_label
_atom_site_type_symbol
_atom_site_fract_x
_atom_site_fract_y
_atom_site_fract_z
Mg1 Mg 0.000 0.000 0.000
Sb1 Sb 0.500 0.500 0.500
Br1 Br 0.088 0.749 0.408
Br2 Br 0.251 0.592 0.912
Br3 Br 0.408 0.088 0.749
Br4 Br 0.592 0.912 0.251
Br5 Br 0.749 0.408 0.088
Br6 Br 0.912 0.251 0.592
# Symmetry = R-3, No. 148
# N(E_F) = 0.78 states/eV/atom

***

#Q
# MgSbBr6 PBE relaxed
data_MgSbBr6
_cell_length_a 7.981
_cell_length_b 7.981
_cell_length_c 7.981
_cell_angle_alpha 112.19
_cell_angle_beta 112.19
_cell_angle_gamma 112.19
_space_group_name_H-M_alt 'P 1'
_space_group_IT_number 1
_space_group_name_Hall 'P 1'
loop_
_atom_site_label
_atom_site_type_symbol
_atom_site_fract_x
_atom_site_fract_y
_atom_site_fract_z
Mg1 Mg 0.000 0.000 0.000
Sb1 Sb 0.500 0.500 0.500
Br1 Br 0.158 0.158 0.435
Br2 Br 0.158 0.435 0.158
Br3 Br 0.435 0.158 0.158
Br4 Br 0.565 0.842 0.842
Br5 Br 0.842 0.565 0.842
Br6 Br 0.842 0.842 0.565
# Symmetry = R-3m, No. 166
# N(E_F) = 0.54 states/eV/atom

***

Most stable pick: #Q. Distance to second place: 65 meV/atom.

***

#P
# MgSbTe2Br PBE relaxed
data_MgSbTe2Br
_cell_length_a 5.652
_cell_length_b 5.652
_cell_length_c 5.542
_cell_angle_alpha 90.00
_cell_angle_beta 90.00
_cell_angle_gamma 90.00
_space_group_name_H-M_alt 'P 1'
_space_group_IT_number 1
_space_group_name_Hall 'P 1'
loop_
_atom_site_label
_atom_site_type_symbol
_atom_site_fract_x
_atom_site_fract_y
_atom_site_fract_z
Mg1 Mg 0.000 0.000 0.000
Sb1 Sb 0.500 0.500 0.000
Te1 Te 0.000 0.500 0.500
Te2 Te 0.500 0.000 0.500
Br1 Br 0.500 0.500 0.500
# Symmetry = P4/mmm, No. 123
# N(E_F) = 1.73 states/eV/atom

***

#Q
# MgSbTe2Br PBE relaxed
data_MgSbTe2Br
_cell_length_a 5.348
_cell_length_b 5.348
_cell_length_c 5.674
_cell_angle_alpha 90.00
_cell_angle_beta 90.00
_cell_angle_gamma 90.00
_space_group_name_H-M_alt 'P 1'
_space_group_IT_number 1
_space_group_name_Hall 'P 1'
loop_
_atom_site_label
_atom_site_type_symbol
_atom_site_fract_x
_atom_site_fract_y
_atom_site_fract_z
Mg1 Mg 0.000 0.000 0.000
Sb1 Sb 0.000 0.000 0.500
Te1 Te 0.000 0.500 0.000
Te2 Te 0.500 0.000 0.000
Br1 Br 0.500 0.500 0.500
# Symmetry = P4/mmm, No. 123
# N(E_F) = 0.77 states/eV/atom

***

Most stable pick: #Q. Distance to second place: 429 meV/atom.

***

#P
# MgScBr PBE relaxed
data_MgScBr
_cell_length_a 5.003
_cell_length_b 5.003
_cell_length_c 5.003
_cell_angle_alpha 60.00
_cell_angle_beta 60.00
_cell_angle_gamma 60.00
_space_group_name_H-M_alt 'P 1'
_space_group_IT_number 1
_space_group_name_Hall 'P 1'
loop_
_atom_site_label
_atom_site_type_symbol
_atom_site_fract_x
_atom_site_fract_y
_atom_site_fract_z
Mg1 Mg 0.000 0.000 0.000
Sc1 Sc 0.750 0.750 0.750
Br1 Br 0.500 0.500 0.500
# Symmetry = F-43m, No. 216
# N(E_F) = 1.34 states/eV/atom

***

#Q
# MgScBr PBE relaxed
data_MgScBr
_cell_length_a 3.474
_cell_length_b 3.474
_cell_length_c 15.044
_cell_angle_alpha 90.00
_cell_angle_beta 90.00
_cell_angle_gamma 120.00
_space_group_name_H-M_alt 'P 1'
_space_group_IT_number 1
_space_group_name_Hall 'P 1'
loop_
_atom_site_label
_atom_site_type_symbol
_atom_site_fract_x
_atom_site_fract_y
_atom_site_fract_z
Mg1 Mg 0.000 0.000 0.000
Mg2 Mg 0.000 0.000 0.500
Sc1 Sc 0.333 0.667 0.168
Sc2 Sc 0.333 0.667 0.832
Br1 Br 0.000 0.000 0.292
Br2 Br 0.000 0.000 0.708
# Symmetry = P-6m2, No. 187
# N(E_F) = 0.86 states/eV/atom

***

Most stable pick: #Q. Distance to second place: 731 meV/atom.

***

#P
# MgScBr PBE relaxed
data_MgScBr
_cell_length_a 4.788
_cell_length_b 4.788
_cell_length_c 3.743
_cell_angle_alpha 90.00
_cell_angle_beta 90.00
_cell_angle_gamma 120.00
_space_group_name_H-M_alt 'P 1'
_space_group_IT_number 1
_space_group_name_Hall 'P 1'
loop_
_atom_site_label
_atom_site_type_symbol
_atom_site_fract_x
_atom_site_fract_y
_atom_site_fract_z
Mg1 Mg 0.000 0.000 0.000
Sc1 Sc 0.667 0.333 0.500
Br1 Br 0.333 0.667 0.500
# Symmetry = P-6m2, No. 187
# N(E_F) = 0.92 states/eV/atom

***

#Q
# MgScBr PBE relaxed
data_MgScBr
_cell_length_a 7.759
_cell_length_b 7.464
_cell_length_c 3.378
_cell_angle_alpha 82.11
_cell_angle_beta 72.34
_cell_angle_gamma 25.55
_space_group_name_H-M_alt 'P 1'
_space_group_IT_number 1
_space_group_name_Hall 'P 1'
loop_
_atom_site_label
_atom_site_type_symbol
_atom_site_fract_x
_atom_site_fract_y
_atom_site_fract_z
Mg1 Mg 0.000 0.000 0.000
Sc1 Sc 0.664 0.664 0.336
Br1 Br 0.304 0.304 0.696
# Symmetry = Fmm2, No. 42
# N(E_F) = 0.93 states/eV/atom

***

#R
# MgScBr PBE relaxed
data_MgScBr
_cell_length_a 3.509
_cell_length_b 3.509
_cell_length_c 7.270
_cell_angle_alpha 90.00
_cell_angle_beta 90.00
_cell_angle_gamma 120.00
_space_group_name_H-M_alt 'P 1'
_space_group_IT_number 1
_space_group_name_Hall 'P 1'
loop_
_atom_site_label
_atom_site_type_symbol
_atom_site_fract_x
_atom_site_fract_y
_atom_site_fract_z
Mg1 Mg 0.000 0.000 0.000
Sc1 Sc 0.667 0.333 0.323
Br1 Br 0.333 0.667 0.581
# Symmetry = P3m1, No. 156
# N(E_F) = 1.00 states/eV/atom

***

#S
# MgScBr PBE relaxed
data_MgScBr
_cell_length_a 4.779
_cell_length_b 4.779
_cell_length_c 4.779
_cell_angle_alpha 60.00
_cell_angle_beta 60.00
_cell_angle_gamma 60.00
_space_group_name_H-M_alt 'P 1'
_space_group_IT_number 1
_space_group_name_Hall 'P 1'
loop_
_atom_site_label
_atom_site_type_symbol
_atom_site_fract_x
_atom_site_fract_y
_atom_site_fract_z
Mg1 Mg 0.000 0.000 0.000
Sc1 Sc 0.500 0.500 0.500
Br1 Br 0.250 0.250 0.250
# Symmetry = F-43m, No. 216
# N(E_F) = 0.77 states/eV/atom

***

Most stable pick: #R. Distance to second place: 122 meV/atom.

***

#P
# MgScBr4 PBE relaxed
data_MgScBr4
_cell_length_a 6.932
_cell_length_b 3.815
_cell_length_c 7.385
_cell_angle_alpha 90.00
_cell_angle_beta 107.63
_cell_angle_gamma 90.00
_space_group_name_H-M_alt 'P 1'
_space_group_IT_number 1
_space_group_name_Hall 'P 1'
loop_
_atom_site_label
_atom_site_type_symbol
_atom_site_fract_x
_atom_site_fract_y
_atom_site_fract_z
Mg1 Mg 0.000 0.000 0.000
Sc1 Sc 0.500 0.500 0.000
Br1 Br 0.235 0.500 0.215
Br2 Br 0.248 0.000 0.777
Br3 Br 0.752 0.000 0.223
Br4 Br 0.765 0.500 0.785
# Symmetry = P2/m, No. 10
# N(E_F) = 0.41 states/eV/atom

***

#Q
# MgScBr4 PBE relaxed
data_MgScBr4
_cell_length_a 6.286
_cell_length_b 6.286
_cell_length_c 6.286
_cell_angle_alpha 60.00
_cell_angle_beta 60.00
_cell_angle_gamma 60.00
_space_group_name_H-M_alt 'P 1'
_space_group_IT_number 1
_space_group_name_Hall 'P 1'
loop_
_atom_site_label
_atom_site_type_symbol
_atom_site_fract_x
_atom_site_fract_y
_atom_site_fract_z
Mg1 Mg 0.000 0.000 0.000
Sc1 Sc 0.750 0.750 0.750
Br1 Br 0.375 0.375 0.375
Br2 Br 0.375 0.375 0.874
Br3 Br 0.375 0.874 0.375
Br4 Br 0.874 0.375 0.375
# Symmetry = F-43m, No. 216
# N(E_F) = 1.41 states/eV/atom

***

Most stable pick: #P. Distance to second place: 1694 meV/atom.